Entry 1:
# Rb3MgAu

A relaxed Rb3MgAu crystal (GGA-PBE, the Alexandria database).

## Properties
Offset from the most stable computed form   0.0 kJ/mol of formula units
Energy of formation from the pure elements   0.3 eV/f.u.
E   -7.44 eV for the cell shown
Density of states at the Fermi level   7.89 states/eV/f.u.

a = 6.682 Å, b = 6.682 Å, c = 6.682 Å
α = 90.00°, β = 90.00°, γ = 90.00°
Space group Pm-3m (No. 221)
Asymmetric unit:
Rb: 0.000 0.000 0.500 [3 per cell]
Mg: 0.500 0.500 0.500 [1 per cell]
Au: 0.000 0.000 0.000 [1 per cell]

Entry 2:
# Rb2MgAu

A relaxed Rb2MgAu crystal (GGA-PBE, the Alexandria database).

## Properties
Energy of formation from the pure elements   -0.3 eV/f.u.
E   -28.58 eV for the cell shown
Density of states at the Fermi level   2.60 states/eV/f.u.

a = 12.885 Å, b = 12.885 Å, c = 5.278 Å
α = 90.00°, β = 90.00°, γ = 90.00°
Space group I-42d (No. 122)
Asymmetric unit:
Rb: 0.083 0.250 0.125 [8 per cell]
Mg: 0.000 0.000 0.500 [4 per cell]
Au: 0.000 0.000 0.000 [4 per cell]

Entry 3:
# Rb2MgAu2

A relaxed Rb2MgAu2 crystal (GGA-PBE, the Alexandria database).

## Properties
Energy of formation from the pure elements   -0.9 eV/f.u.
E   -21.97 eV for the cell shown
Density of states at the Fermi level   1.92 states/eV/f.u.

a = 7.609 Å, b = 7.609 Å, c = 5.500 Å
α = 90.00°, β = 90.00°, γ = 90.00°
Space group P4/mbm (No. 127)
Asymmetric unit:
Rb: 0.169 0.331 0.000 [4 per cell]
Mg: 0.000 0.000 0.500 [2 per cell]
Au: 0.138 0.638 0.500 [4 per cell]

Entry 4:
# Rb5MgAu4

A relaxed Rb5MgAu4 crystal (GGA-PBE, the Alexandria database).

## Properties
Energy of formation from the pure elements   -2.4 eV/f.u.
E   -43.93 eV for the cell shown
Density of states at the Fermi level   5.04 states/eV/f.u.

a = 21.980 Å, b = 4.755 Å, c = 8.652 Å
α = 90.00°, β = 112.18°, γ = 90.00°
Space group C2/m (No. 12)
Asymmetric unit:
Rb: 0.000 0.000 0.000 [2 per cell]
Rb: 0.144 0.500 0.761 [4 per cell]
Rb: 0.191 0.500 0.293 [4 per cell]
Mg: 0.000 0.000 0.500 [2 per cell]
Au: 0.029 0.500 0.361 [4 per cell]
Au: 0.117 0.000 0.448 [4 per cell]

Entry 5:
# RbMg2Au

A relaxed RbMg2Au crystal (GGA-PBE, the Alexandria database).

## Properties
Offset from the most stable computed form   59.3 kJ/mol of formula units
Energy of formation from the pure elements   0.5 eV/f.u.
E   -27.67 eV for the cell shown
Density of states at the Fermi level   2.02 states/eV/f.u.

a = 7.503 Å, b = 7.503 Å, c = 7.503 Å
α = 90.00°, β = 90.00°, γ = 90.00°
Space group Fm-3m (No. 225)
Asymmetric unit:
Rb: 0.000 0.000 0.000 [4 per cell]
Mg: 0.250 0.250 0.250 [8 per cell]
Au: 0.000 0.000 0.500 [4 per cell]

Entry 6:
# RbMgAu4

A relaxed RbMgAu4 crystal (GGA-PBE, the Alexandria database).

## Properties
Energy of formation from the pure elements   -0.9 eV/f.u.
E   -66.25 eV for the cell shown
Density of states at the Fermi level   3.40 states/eV/f.u.

a = 8.122 Å, b = 8.122 Å, c = 8.122 Å
α = 90.00°, β = 90.00°, γ = 90.00°
Space group F-43m (No. 216)
Asymmetric unit:
Rb: 0.000 0.000 0.000 [4 per cell]
Mg: 0.250 0.250 0.750 [4 per cell]
Au: 0.124 0.124 0.376 [16 per cell]

Entry 7:
# RbMgAu3

A relaxed RbMgAu3 crystal (GGA-PBE, the Alexandria database).

## Properties
Offset from the most stable computed form   564.0 kJ/mol of formula units
Energy of formation from the pure elements   5.3 eV/f.u.
E   -7.13 eV for the cell shown
Density of states at the Fermi level   4.97 states/eV/f.u.

a = 5.799 Å, b = 5.799 Å, c = 5.799 Å
α = 90.00°, β = 90.00°, γ = 90.00°
Space group Pm-3m (No. 221)
Asymmetric unit:
Rb: 0.000 0.000 0.000 [1 per cell]
Mg: 0.500 0.500 0.500 [1 per cell]
Au: 0.000 0.000 0.500 [3 per cell]

Entry 8:
# Rb2Mg2Au

A relaxed Rb2Mg2Au crystal (GGA-PBE, the Alexandria database).

## Properties
Energy of formation from the pure elements   0.0 eV/f.u.
E   -16.80 eV for the cell shown
Density of states at the Fermi level   2.90 states/eV/f.u.

a = 7.450 Å, b = 7.450 Å, c = 6.440 Å
α = 90.00°, β = 90.00°, γ = 90.00°
Space group P4/mbm (No. 127)
Asymmetric unit:
Rb: 0.183 0.317 0.000 [4 per cell]
Mg: 0.158 0.658 0.500 [4 per cell]
Au: 0.000 0.000 0.500 [2 per cell]

Entry 9:
# RbMgAuS2

A relaxed RbMgAuS2 crystal (GGA-PBE, the Alexandria database).

## Properties
E   -38.42 eV for the cell shown
Density of states at the Fermi level   0.00 states/eV/f.u.
Formation energy without anion corrections   -1.02 eV per atom

a = 7.431 Å, b = 5.841 Å, c = 6.551 Å
α = 90.00°, β = 108.64°, γ = 90.00°
Space group P2/c (No. 13)
Asymmetric unit:
Rb: 0.000 0.220 0.250 [2 per cell]
Mg: 0.500 0.496 0.750 [2 per cell]
Au: 0.500 0.000 0.000 [2 per cell]
S: 0.284 0.306 0.924 [4 per cell]

Entry 10:
# Rb2MgSb4Au3

A relaxed Rb2MgSb4Au3 crystal (GGA-PBE, the Alexandria database).

## Properties
E   -33.17 eV for the cell shown
Density of states at the Fermi level   3.93 states/eV/f.u.
Formation energy without anion corrections   -0.33 eV per atom

a = 4.873 Å, b = 4.873 Å, c = 11.815 Å
α = 90.00°, β = 90.00°, γ = 90.00°
Space group P-4m2 (No. 115)
Asymmetric unit:
Rb: 0.000 0.500 0.249 [2 per cell]
Mg: 0.500 0.500 0.000 [1 per cell]
Sb: 0.000 0.000 0.500 [1 per cell]
Sb: 0.000 0.500 0.865 [2 per cell]
Sb: 0.500 0.500 0.500 [1 per cell]
Au: 0.000 0.000 0.000 [1 per cell]
Au: 0.000 0.500 0.629 [2 per cell]

Entry 11:
# RbSrMg2Au

A relaxed RbSrMg2Au crystal (GGA-PBE, the Alexandria database).

## Properties
Energy of formation from the pure elements   -0.8 eV/f.u.
E   -9.88 eV for the cell shown
Density of states at the Fermi level   4.04 states/eV/f.u.

a = 5.474 Å, b = 5.474 Å, c = 5.999 Å
α = 90.00°, β = 90.00°, γ = 90.00°
Space group P4/mmm (No. 123)
Asymmetric unit:
Rb: 0.000 0.000 0.000 [1 per cell]
Sr: 0.500 0.500 0.000 [1 per cell]
Mg: 0.000 0.500 0.500 [2 per cell]
Au: 0.500 0.500 0.500 [1 per cell]

Entry 12:
# RbMg2TlAu

A relaxed RbMg2TlAu crystal (GGA-PBE, the Alexandria database).

## Properties
Energy of formation from the pure elements   -0.4 eV/f.u.
E   -10.25 eV for the cell shown
Density of states at the Fermi level   2.26 states/eV/f.u.

a = 5.327 Å, b = 5.327 Å, c = 5.694 Å
α = 90.00°, β = 90.00°, γ = 90.00°
Space group P4/mmm (No. 123)
Asymmetric unit:
Rb: 0.000 0.000 0.000 [1 per cell]
Mg: 0.000 0.500 0.500 [2 per cell]
Tl: 0.500 0.500 0.000 [1 per cell]
Au: 0.500 0.500 0.500 [1 per cell]

Entry 13:
# Mg3ReAu

A relaxed Mg3ReAu crystal (GGA-PBE, the Alexandria database).

## Properties
Offset from the most stable computed form   0.0 kJ/mol of formula units
Energy of formation from the pure elements   4.5 eV/f.u.
E   -15.97 eV for the cell shown
Density of states at the Fermi level   4.54 states/eV/f.u.

a = 4.929 Å, b = 4.929 Å, c = 4.929 Å
α = 90.00°, β = 90.00°, γ = 90.00°
Space group Pm-3m (No. 221)
Asymmetric unit:
Mg: 0.000 0.000 0.500 [3 per cell]
Re: 0.500 0.500 0.500 [1 per cell]
Au: 0.000 0.000 0.000 [1 per cell]

Entry 14:
# MgRe2Au

A relaxed MgRe2Au crystal (GGA-PBE, the Alexandria database).

## Properties
Energy of formation from the pure elements   1.3 eV/f.u.
E   -57.00 eV for the cell shown
Density of states at the Fermi level   2.79 states/eV/f.u.

a = 4.162 Å, b = 4.162 Å, c = 7.316 Å
α = 90.00°, β = 90.00°, γ = 90.00°
Space group I-4m2 (No. 119)
Asymmetric unit:
Mg: 0.000 0.000 0.000 [2 per cell]
Re: 0.000 0.000 0.500 [2 per cell]
Re: 0.000 0.500 0.750 [2 per cell]
Au: 0.000 0.500 0.250 [2 per cell]

Entry 15:
# Mg3ReAu

A relaxed Mg3ReAu crystal (GGA-PBE, the Alexandria database).

## Properties
Offset from the most stable computed form   74.3 kJ/mol of formula units
Energy of formation from the pure elements   5.3 eV/f.u.
E   -15.20 eV for the cell shown
Density of states at the Fermi level   5.69 states/eV/f.u.

a = 5.035 Å, b = 5.035 Å, c = 5.035 Å
α = 90.00°, β = 90.00°, γ = 90.00°
Space group Pm-3m (No. 221)
Asymmetric unit:
Mg: 0.000 0.000 0.500 [3 per cell]
Re: 0.000 0.000 0.000 [1 per cell]
Au: 0.500 0.500 0.500 [1 per cell]

Entry 16:
# Mg2ReAu

A relaxed Mg2ReAu crystal (GGA-PBE, the Alexandria database).

## Properties
Offset from the most stable computed form   85.6 kJ/mol of formula units
Energy of formation from the pure elements   0.8 eV/f.u.
E   -36.15 eV for the cell shown
Density of states at the Fermi level   1.24 states/eV/f.u.

a = 3.531 Å, b = 4.341 Å, c = 9.148 Å
α = 90.00°, β = 90.00°, γ = 90.00°
Space group Cmm2 (No. 35)
Asymmetric unit:
Mg: 0.000 0.000 0.000 [2 per cell]
Mg: 0.000 0.500 0.285 [2 per cell]
Re: 0.000 0.000 0.519 [2 per cell]
Au: 0.000 0.500 0.766 [2 per cell]

Entry 17:
# Mg2ReAu

A relaxed Mg2ReAu crystal (GGA-PBE, the Alexandria database).

## Properties
Offset from the most stable computed form   32.9 kJ/mol of formula units
Energy of formation from the pure elements   0.3 eV/f.u.
E   -37.24 eV for the cell shown
Density of states at the Fermi level   1.71 states/eV/f.u.

a = 10.521 Å, b = 2.815 Å, c = 5.054 Å
α = 90.00°, β = 114.81°, γ = 90.00°
Space group Cm (No. 8)
Asymmetric unit:
Mg: 0.000 0.000 0.000 [2 per cell]
Mg: 0.230 0.000 0.574 [2 per cell]
Re: 0.481 0.000 0.497 [2 per cell]
Au: 0.247 0.500 0.071 [2 per cell]

Entry 18:
# Mg2ReAu

A relaxed Mg2ReAu crystal (GGA-PBE, the Alexandria database).

## Properties
Offset from the most stable computed form   114.7 kJ/mol of formula units
Energy of formation from the pure elements   1.1 eV/f.u.
E   -35.54 eV for the cell shown
Density of states at the Fermi level   2.89 states/eV/f.u.

a = 3.929 Å, b = 3.929 Å, c = 8.770 Å
α = 90.00°, β = 90.00°, γ = 90.00°
Space group I-4m2 (No. 119)
Asymmetric unit:
Mg: 0.000 0.000 0.000 [2 per cell]
Mg: 0.000 0.500 0.250 [2 per cell]
Re: 0.000 0.500 0.750 [2 per cell]
Au: 0.000 0.000 0.500 [2 per cell]

Entry 19:
# MgReAu3

A relaxed MgReAu3 crystal (GGA-PBE, the Alexandria database).

## Properties
Offset from the most stable computed form   215.1 kJ/mol of formula units
Energy of formation from the pure elements   7.1 eV/f.u.
E   -16.73 eV for the cell shown
Density of states at the Fermi level   4.54 states/eV/f.u.

a = 4.645 Å, b = 4.645 Å, c = 4.645 Å
α = 90.00°, β = 90.00°, γ = 90.00°
Space group Pm-3m (No. 221)
Asymmetric unit:
Mg: 0.000 0.000 0.000 [1 per cell]
Re: 0.500 0.500 0.500 [1 per cell]
Au: 0.000 0.000 0.500 [3 per cell]

Entry 20:
# Mg2ReAu

A relaxed Mg2ReAu crystal (GGA-PBE, the Alexandria database).

## Properties
Offset from the most stable computed form   57.2 kJ/mol of formula units
Energy of formation from the pure elements   0.5 eV/f.u.
E   -18.37 eV for the cell shown
Density of states at the Fermi level   3.48 states/eV/f.u.

a = 2.782 Å, b = 4.818 Å, c = 5.090 Å
α = 90.00°, β = 90.00°, γ = 90.00°
Space group Pmm2 (No. 25)
Asymmetric unit:
Mg: 0.000 0.000 0.000 [1 per cell]
Mg: 0.000 0.500 0.348 [1 per cell]
Re: 0.500 0.500 0.846 [1 per cell]
Au: 0.500 0.000 0.513 [1 per cell]

Which spin magnetization belongs to each record? In order, 0.022, 0.000, 0.000, 0.000, 0.000, 0.000, 0.000, 0.000, 0.000, 0.000, 0.000, 0.000, 0.661, 0.000, 0.159, 0.000, 0.000, 0.000, 0.000, 0.000 μB/atom.